[1]
Density functional theory data (PBE-GGA) for a relaxed structure of Ac3PuMn2N6.

```
12
Lattice="5.919 0.000 0.000 -2.959 5.126 0.000 0.000 0.000 6.941" Properties=species:S:1:pos:R:3 pbc="T T T"
Ac 0.000 0.000 0.000
Ac 0.000 3.417 4.682
Ac 2.959 1.709 2.259
Pu 0.000 0.000 3.471
Mn 0.000 3.417 1.463
Mn 2.959 1.709 5.478
N 0.000 1.750 2.076
N -1.444 4.251 2.076
N 1.516 0.875 4.866
N 1.444 4.251 2.076
N 4.403 0.875 4.866
N 2.959 3.375 4.866
```

- ΔE_f (raw) (eV/f.u.) = -10.65
- final energy (eV/atom) = -8.80
- density of states at the Fermi level (states/eV/f.u.) = 6.8

[2]
Density functional theory data (PBE-GGA) for a relaxed structure of CaTlH6Pt2.

```
20
Lattice="4.208 -4.845 0.000 4.208 4.845 0.000 -3.393 0.000 6.095" Properties=species:S:1:pos:R:3 pbc="T T T"
Ca 1.663 3.284 4.571
Ca 3.360 -3.284 1.524
Tl 3.360 0.962 1.524
Tl 1.663 -0.962 4.571
H 1.258 2.282 2.407
H -1.800 0.321 5.725
H -0.104 -0.321 2.678
H 0.358 0.782 4.874
H 2.055 -0.782 1.827
H 5.461 2.282 0.641
H -0.438 -2.282 5.454
H 2.969 0.782 4.268
H 4.665 -0.782 1.221
H 5.127 0.321 3.417
H 6.823 -0.321 0.369
H 3.765 -2.282 3.688
Pt -1.134 1.427 4.696
Pt 0.562 -1.427 1.649
Pt 4.461 1.427 4.446
Pt 6.157 -1.427 1.398
```

- final energy (eV/atom) = -3.87
- density of states at the Fermi level (states/eV/f.u.) = 0.9

[3]
Density functional theory data (PBE-GGA) for a relaxed structure of MgZnF4.

```
12
Lattice="10.611 0.000 0.000 0.000 3.146 0.000 -2.795 0.000 4.692" Properties=species:S:1:pos:R:3 pbc="T T T"
Mg 0.000 0.000 0.000
Mg 5.306 1.573 0.000
Zn -1.398 1.573 2.346
Zn 3.908 0.000 2.346
F -1.531 1.573 4.429
F -0.087 0.000 2.030
F 2.597 1.573 2.662
F 4.041 0.000 0.263
F 3.775 0.000 4.429
F 5.219 1.573 2.030
F 7.903 0.000 2.662
F 9.347 1.573 0.263
```

- ΔE_f (raw) (eV/f.u.) = -17.03
- final energy (eV/atom) = -4.56
- energy above the lowest structure with this stoichiometry (meV per atom) = 86
- density of states at the Fermi level (states/eV/f.u.) = 0.0

[4]
Density functional theory data (PBE-GGA) for a relaxed structure of Zn2Co5SiB2.

```
20
Lattice="8.680 0.000 0.000 0.000 8.680 0.000 0.000 0.000 2.682" Properties=species:S:1:pos:R:3 pbc="T T T"
Zn 1.525 2.816 0.000
Zn 2.816 7.156 0.000
Zn 5.865 1.525 0.000
Zn 7.156 5.865 0.000
Co 0.000 4.340 1.341
Co 0.611 6.845 1.341
Co 1.835 0.611 1.341
Co 2.505 4.952 1.341
Co 3.729 2.505 1.341
Co 4.340 0.000 1.341
Co 4.952 6.175 1.341
Co 6.175 3.729 1.341
Co 6.845 8.069 1.341
Co 8.069 1.835 1.341
Si 0.000 0.000 0.000
Si 4.340 4.340 0.000
B 1.079 5.420 0.000
B 3.261 1.079 0.000
B 5.420 7.601 0.000
B 7.601 3.261 0.000
```

- ΔE_f (raw) (eV/f.u.) = -3.05
- final energy (eV/atom) = -5.99
- density of states at the Fermi level (states/eV/f.u.) = 3.5

[5]
Density functional theory data (PBE-GGA) for a relaxed structure of Ce2TlSe.

```
12
Lattice="4.124 0.000 0.000 -2.062 3.571 0.000 0.000 0.000 24.142" Properties=species:S:1:pos:R:3 pbc="T T T"
Ce 0.000 0.000 5.766
Ce 0.000 0.000 18.377
Ce 0.000 2.381 10.329
Ce 0.000 2.381 21.861
Ce 2.062 1.190 2.282
Ce 2.062 1.190 13.813
Tl 0.000 0.000 0.000
Tl 0.000 2.381 16.095
Tl 2.062 1.190 8.047
Se 0.000 0.000 12.071
Se 0.000 2.381 4.024
Se 2.062 1.190 20.119
```

- ΔE_f (raw) (eV/f.u.) = -3.69
- final energy (eV/atom) = -5.35
- energy above the lowest structure with this stoichiometry (meV per atom) = 0
- density of states at the Fermi level (states/eV/f.u.) = 13.1

[6]
Density functional theory data (PBE-GGA) for a relaxed structure of AgPCl2F.

```
5
Lattice="4.846 0.000 0.000 0.000 4.846 0.000 0.000 0.000 5.115" Properties=species:S:1:pos:R:3 pbc="T T T"
Ag 0.000 0.000 0.000
P 0.000 0.000 2.557
Cl 0.000 2.423 0.000
Cl 2.423 0.000 0.000
F 2.423 2.423 2.557
```

- ΔE_f (raw) (eV/f.u.) = 2.09
- final energy (eV/atom) = -2.35
- energy above the lowest structure with this stoichiometry (meV per atom) = 400
- density of states at the Fermi level (states/eV/f.u.) = 5.2

[7]
Density functional theory data (PBE-GGA) for a relaxed structure of Nd12Sm5Hg2.

```
19
Lattice="7.832 -4.718 0.000 7.832 4.718 0.000 -0.535 0.000 8.639" Properties=species:S:1:pos:R:3 pbc="T T T"
Nd 0.710 0.000 2.673
Nd 5.728 2.897 2.957
Nd 5.084 1.734 6.607
Nd 9.401 2.897 5.682
Nd 6.504 0.000 1.007
Nd 10.045 1.734 2.031
Nd 5.084 -1.734 6.607
Nd 8.625 0.000 7.632
Nd 5.728 -2.897 2.957
Nd 10.045 -1.734 2.031
Nd 9.401 -2.897 5.682
Nd 14.419 0.000 5.966
Sm 2.904 0.000 0.039
Sm 3.945 0.000 3.587
Sm 7.564 0.000 4.319
Sm 11.184 0.000 5.052
Sm 12.225 0.000 8.599
Hg 7.832 2.955 0.000
Hg 7.832 -2.955 0.000
```

- final energy (eV/atom) = -4.28
- density of states at the Fermi level (states/eV/f.u.) = 28.7
- energy relative to the elements (eV/atom) = 0.00

[8]
Density functional theory data (PBE-GGA) for a relaxed structure of CrSn2Ir.

```
16
Lattice="7.532 0.000 0.000 0.000 7.532 0.000 0.000 0.000 5.885" Properties=species:S:1:pos:R:3 pbc="T T T"
Cr 0.000 0.000 0.000
Cr 0.000 3.766 1.471
Cr 3.766 0.000 4.414
Cr 3.766 3.766 2.943
Sn 1.704 5.649 3.678
Sn 1.883 1.704 2.207
Sn 1.883 2.062 5.150
Sn 2.062 5.649 0.736
Sn 5.470 1.883 0.736
Sn 5.649 5.470 5.150
Sn 5.649 5.828 2.207
Sn 5.828 1.883 3.678
Ir 0.000 0.000 2.943
Ir 0.000 3.766 4.414
Ir 3.766 0.000 1.471
Ir 3.766 3.766 0.000
```

- final energy (eV/atom) = -6.23
- energy above the lowest structure with this stoichiometry (meV per atom) = 145
- density of states at the Fermi level (states/eV/f.u.) = 2.4
- energy relative to the elements (eV/atom) = 0.40

[9]
Density functional theory data (PBE-GGA) for a relaxed structure of Cs2Cd4Pt.

```
14
Lattice="6.710 0.000 0.000 0.000 6.710 0.000 0.000 0.000 12.721" Properties=species:S:1:pos:R:3 pbc="T T T"
Cs 0.000 3.355 3.180
Cs 0.000 3.355 9.541
Cs 3.355 0.000 3.180
Cs 3.355 0.000 9.541
Cd 1.475 1.475 0.000
Cd 1.475 5.235 0.000
Cd 1.880 1.880 6.361
Cd 1.880 4.830 6.361
Cd 4.830 1.880 6.361
Cd 4.830 4.830 6.361
Cd 5.235 1.475 0.000
Cd 5.235 5.235 0.000
Pt 0.000 0.000 6.361
Pt 3.355 3.355 0.000
```

- final energy (eV/atom) = -1.66
- energy above the lowest structure with this stoichiometry (meV per atom) = 126
- density of states at the Fermi level (states/eV/f.u.) = 2.4
- energy relative to the elements (eV/atom) = -0.03

[10]
Density functional theory data (PBE-GGA) for a relaxed structure of MgCrNi2.

```
16
Lattice="6.604 0.000 0.000 0.000 6.604 0.000 0.000 0.000 5.240" Properties=species:S:1:pos:R:3 pbc="T T T"
Mg 0.000 0.000 0.000
Mg 0.000 3.302 1.310
Mg 3.302 0.000 3.930
Mg 3.302 3.302 2.620
Cr 0.000 0.000 2.620
Cr 0.000 3.302 3.930
Cr 3.302 0.000 1.310
Cr 3.302 3.302 0.000
Ni 1.496 1.651 3.275
Ni 1.651 4.798 4.585
Ni 1.651 5.108 1.965
Ni 1.806 1.651 0.655
Ni 4.798 4.953 0.655
Ni 4.953 1.496 1.965
Ni 4.953 1.806 4.585
Ni 5.108 4.953 3.275
```

- final energy (eV/atom) = -5.26
- density of states at the Fermi level (states/eV/f.u.) = 4.5
- energy relative to the elements (eV/atom) = 0.44

[11]
Density functional theory data (PBE-GGA) for a relaxed structure of La4CdSb.

```
6
Lattice="0.000 4.583 4.583 4.583 0.000 4.583 4.583 4.583 0.000" Properties=species:S:1:pos:R:3 pbc="T T T"
La 1.133 1.133 1.133
La 3.449 3.449 1.133
La 3.449 1.133 3.449
La 1.133 3.449 3.449
Cd 4.583 4.583 4.583
Sb 6.874 6.874 6.874
```

- ΔE_f (raw) (eV/f.u.) = 0.02
- final energy (eV/atom) = -4.12
- density of states at the Fermi level (states/eV/f.u.) = 7.6

[12]
Density functional theory data (PBE-GGA) for a relaxed structure of Li12Ag3Pd.

```
16
Lattice="4.047 0.000 0.000 0.000 4.047 0.000 0.000 0.000 15.900" Properties=species:S:1:pos:R:3 pbc="T T T"
Li 0.000 0.000 0.000
Li 0.000 0.000 3.893
Li 0.000 0.000 7.950
Li 0.000 0.000 12.007
Li 0.000 2.023 1.832
Li 0.000 2.023 5.916
Li 0.000 2.023 9.984
Li 0.000 2.023 14.068
Li 2.023 0.000 1.832
Li 2.023 0.000 5.916
Li 2.023 0.000 9.984
Li 2.023 0.000 14.068
Ag 2.023 2.023 3.863
Ag 2.023 2.023 7.950
Ag 2.023 2.023 12.037
Pd 2.023 2.023 0.000
```

- final energy (eV/atom) = -2.46
- density of states at the Fermi level (states/eV/f.u.) = 5.2
- energy relative to the elements (eV/atom) = -0.17

[13]
Density functional theory data (PBE-GGA) for a relaxed structure of Ac6In23.

```
29
Lattice="0.000 7.530 7.530 7.530 0.000 7.530 7.530 7.530 0.000" Properties=species:S:1:pos:R:3 pbc="T T T"
Ac 7.530 7.530 3.254
Ac 7.530 3.254 7.530
Ac 11.807 7.530 7.530
Ac 3.254 7.530 7.530
Ac 7.530 11.807 7.530
Ac 7.530 7.530 11.807
In 0.000 0.000 0.000
In 3.765 3.765 0.000
In 3.765 0.000 3.765
In 7.530 3.765 3.765
In 2.532 2.532 2.532
In 4.998 4.998 2.532
In 4.998 2.532 4.998
In 9.140 5.921 5.921
In 5.921 5.921 5.921
In 9.140 9.140 5.921
In 9.140 5.921 9.140
In 2.532 4.998 4.998
In 0.000 3.765 3.765
In 3.765 7.530 3.765
In 3.765 3.765 7.530
In 12.529 10.063 10.063
In 5.921 9.140 5.921
In 5.921 5.921 9.140
In 9.140 9.140 9.140
In 5.921 9.140 9.140
In 10.063 12.529 10.063
In 10.063 10.063 12.529
In 12.529 12.529 12.529
```

- final energy (eV/atom) = -3.28
- density of states at the Fermi level (states/eV/f.u.) = 20.0
- energy relative to the elements (eV/atom) = -0.26

[14]
Density functional theory data (PBE-GGA) for a relaxed structure of SrAcCl2.

```
12
Lattice="3.996 0.000 0.000 -1.998 3.460 0.000 0.000 0.000 30.701" Properties=species:S:1:pos:R:3 pbc="T T T"
Sr 0.000 0.000 0.000
Sr 0.000 2.307 20.467
Sr 1.998 1.153 10.234
Ac 0.000 0.000 15.350
Ac 0.000 2.307 5.117
Ac 1.998 1.153 25.584
Cl 0.000 0.000 2.960
Cl 0.000 0.000 27.741
Cl 0.000 2.307 17.507
Cl 0.000 2.307 23.428
Cl 1.998 1.153 7.273
Cl 1.998 1.153 13.194
```

- ΔE_f (raw) (eV/f.u.) = -5.91
- final energy (eV/atom) = -3.85
- density of states at the Fermi level (states/eV/f.u.) = 2.5

[15]
Density functional theory data (PBE-GGA) for a relaxed structure of As3P.

```
16
Lattice="5.840 0.000 0.000 -2.920 5.058 0.000 0.000 0.000 9.914" Properties=species:S:1:pos:R:3 pbc="T T T"
As -1.460 2.529 0.000
As -1.460 2.529 4.957
As 0.000 1.620 2.479
As -1.517 4.248 2.479
As 1.403 0.810 7.436
As 2.920 0.000 0.000
As 2.920 0.000 4.957
As 1.460 2.529 0.000
As 1.460 2.529 4.957
As 1.517 4.248 2.479
As 4.437 0.810 7.436
As 2.920 3.438 7.436
P 0.000 0.000 0.000
P 0.000 0.000 4.957
P 0.000 3.372 7.436
P 2.920 1.686 2.479
```

- final energy (eV/atom) = -4.22
- energy above the lowest structure with this stoichiometry (meV per atom) = 565
- density of states at the Fermi level (states/eV/f.u.) = 1.4
- energy relative to the elements (eV/atom) = 0.62

[16]
Density functional theory data (PBE-GGA) for a relaxed structure of NbSe2Cl.

```
16
Lattice="6.822 0.000 0.000 0.000 6.822 0.000 0.000 0.000 10.304" Properties=species:S:1:pos:R:3 pbc="T T T"
Nb 0.000 0.000 0.000
Nb 0.000 3.411 2.576
Nb 3.411 0.000 7.728
Nb 3.411 3.411 5.152
Se 1.194 1.706 1.288
Se 1.706 4.605 3.864
Se 1.706 5.629 9.016
Se 2.217 1.706 6.440
Se 4.605 5.117 6.440
Se 5.117 1.194 9.016
Se 5.117 2.217 3.864
Se 5.629 5.117 1.288
Cl 0.000 0.000 5.152
Cl 0.000 3.411 7.728
Cl 3.411 0.000 2.576
Cl 3.411 3.411 0.000
```

- ΔE_f (raw) (eV/f.u.) = -1.08
- final energy (eV/atom) = -4.99
- energy above the lowest structure with this stoichiometry (meV per atom) = 505
- density of states at the Fermi level (states/eV/f.u.) = 0.1

[17]
Density functional theory data (PBE-GGA) for a relaxed structure of La2NdSm9.

```
12
Lattice="5.167 0.000 0.000 0.000 5.167 0.000 0.000 0.000 15.506" Properties=species:S:1:pos:R:3 pbc="T T T"
La 0.000 0.000 2.582
La 0.000 0.000 12.924
Nd 0.000 0.000 7.753
Sm 0.000 2.583 0.000
Sm 0.000 2.583 5.190
Sm 0.000 2.583 10.316
Sm 2.583 0.000 0.000
Sm 2.583 0.000 5.190
Sm 2.583 0.000 10.316
Sm 2.583 2.583 2.600
Sm 2.583 2.583 7.753
Sm 2.583 2.583 12.906
```

- final energy (eV/atom) = -4.74
- energy above the lowest structure with this stoichiometry (meV per atom) = 0
- density of states at the Fermi level (states/eV/f.u.) = 21.1
- energy relative to the elements (eV/atom) = 0.02

[18]
Density functional theory data (PBE-GGA) for a relaxed structure of HgAsIr2.

```
8
Lattice="2.917 0.000 0.000 0.000 5.089 0.000 0.000 0.000 9.116" Properties=species:S:1:pos:R:3 pbc="T T T"
Hg 0.000 0.000 0.000
Hg 1.459 2.544 0.000
As 0.000 0.000 4.558
As 1.459 2.544 4.558
Ir 0.000 2.544 2.510
Ir 0.000 2.544 6.606
Ir 1.459 0.000 2.510
Ir 1.459 0.000 6.606
```

- final energy (eV/atom) = -5.22
- energy above the lowest structure with this stoichiometry (meV per atom) = 216
- density of states at the Fermi level (states/eV/f.u.) = 2.6
- energy relative to the elements (eV/atom) = 0.45

[19]
Density functional theory data (PBE-GGA) for a relaxed structure of LaTa2Tl.

```
8
Lattice="3.510 0.000 0.000 0.000 4.963 0.000 0.000 0.000 10.327" Properties=species:S:1:pos:R:3 pbc="T T T"
La 0.000 0.000 0.000
La 1.755 2.481 0.000
Ta 0.000 2.481 2.746
Ta 0.000 2.481 7.581
Ta 1.755 0.000 2.746
Ta 1.755 0.000 7.581
Tl 0.000 0.000 5.164
Tl 1.755 2.481 5.164
```

- final energy (eV/atom) = -7.09
- density of states at the Fermi level (states/eV/f.u.) = 4.5
- energy relative to the elements (eV/atom) = 0.66

[20]
Density functional theory data (PBE-GGA) for a relaxed structure of PWAu3.

```
5
Lattice="4.604 0.000 0.000 0.000 4.604 0.000 0.000 0.000 4.604" Properties=species:S:1:pos:R:3 pbc="T T T"
P 0.000 0.000 0.000
W 2.302 2.302 2.302
Au 0.000 0.000 2.302
Au 0.000 2.302 0.000
Au 2.302 0.000 0.000
```

- final energy (eV/atom) = -4.42
- energy above the lowest structure with this stoichiometry (meV per atom) = 0
- density of states at the Fermi level (states/eV/f.u.) = 4.9
- energy relative to the elements (eV/atom) = 1.22

[21]
Density functional theory data (PBE-GGA) for a relaxed structure of PrPH2Rh2.

```
12
Lattice="5.172 0.000 0.000 0.000 5.564 0.000 -0.328 0.000 5.823" Properties=species:S:1:pos:R:3 pbc="T T T"
Pr 1.165 1.391 0.777
Pr 3.678 4.173 5.046
P 0.372 4.173 1.857
P 4.471 1.391 3.966
H 1.170 4.173 4.747
H 2.050 1.391 4.309
H 2.793 4.173 1.514
H 3.673 1.391 1.076
Rh 1.148 0.017 3.602
Rh 1.148 2.765 3.602
Rh 3.696 2.799 2.221
Rh 3.696 5.547 2.221
```

- final energy (eV/atom) = -5.88
- density of states at the Fermi level (states/eV/f.u.) = 2.7

[22]
Density functional theory data (PBE-GGA) for a relaxed structure of RbNaTl2Ir.

```
5
Lattice="5.319 0.000 0.000 0.000 5.319 0.000 0.000 0.000 5.737" Properties=species:S:1:pos:R:3 pbc="T T T"
Rb 0.000 0.000 0.000
Na 2.659 2.659 0.000
Tl 0.000 2.659 2.869
Tl 2.659 0.000 2.869
Ir 2.659 2.659 2.869
```

- final energy (eV/atom) = -3.14
- density of states at the Fermi level (states/eV/f.u.) = 1.5
- energy relative to the elements (eV/atom) = 0.03